Record 1
BaSr2La, optimized geometry, DFT PBE; calculated formation energy = 0.140 eV/atom; theoretical density = 3.7 g/cm3; electronic total energy = -0.1774 Ry/atom; space group = Pmm2, No. 25
1.0
-3.163 0.313 -2.499
-1.439 -5.756 1.101
-4.752 2.395 6.316
Ba Sr La
1 2 1
Direct
0.000 0.000 0.512
0.500 0.500 0.247
0.000 0.000 0.989
0.500 0.500 0.753

=====

Record 2
BaSrLa4, optimized geometry, DFT PBE; calculated formation energy = 0.198 eV/atom; theoretical density = 4.9 g/cm3; electronic total energy = -0.2711 Ry/atom; space group = F-43m, No. 216
1.0
0.000 5.097 5.097
5.097 0.000 5.097
5.097 5.097 0.000
La Sr Ba
4 1 1
Direct
0.383 0.383 0.851
0.851 0.383 0.383
0.383 0.851 0.383
0.383 0.383 0.383
0.750 0.750 0.750
0.000 0.000 0.000

=====

Record 3
Ba4Sr15La, optimized geometry, DFT PBE; calculated formation energy = 0.034 eV/atom; theoretical density = 3.0 g/cm3; electronic total energy = -0.1366 Ry/atom; space group = P4/mmm, No. 123
1.0
6.111 0.000 0.000
0.000 6.111 0.000
0.000 0.000 29.648
Sr Ba La
15 4 1
Direct
0.000 0.500 0.706
0.500 0.000 0.089
0.500 0.500 0.397
0.500 0.000 0.294
0.500 0.000 0.706
0.000 0.500 0.500
0.500 0.000 0.911
0.500 0.000 0.500
0.500 0.500 0.603
0.000 0.500 0.911
0.500 0.500 0.192
0.000 0.500 0.089
0.500 0.500 0.000
0.000 0.500 0.294
0.500 0.500 0.808
0.000 0.000 0.397
0.000 0.000 0.191
0.000 0.000 0.809
0.000 0.000 0.603
0.000 0.000 0.000